A plane-wave DFT calculation with SCAN was carried out for Zr2Al5Ni at its PBEsol-relaxed geometry.

Values from the calculation:
Final energy: -241.665 eV per cell

Structure (CIF):
```
data_Zr2Al5Ni
_chemical_formula_sum 'Zr4 Al10 Ni2'
_symmetry_space_group_name_H-M 'P b a m'
_symmetry_Int_Tables_number 55
_symmetry_space_group_name_Hall '-P 2 2ab'
_cell_length_a 5.6755
_cell_length_b 11.3155
_cell_length_c 4.0202
_cell_angle_alpha 90.00
_cell_angle_beta 90.00
_cell_angle_gamma 90.00
loop_
_atom_site_label
_atom_site_type_symbol
_atom_site_fract_x
_atom_site_fract_y
_atom_site_fract_z
Zr1 Zr 0.2273 0.1317 0.0000
Al1 Al 0.0000 0.0000 0.5000
Al2 Al 0.0086 0.7377 0.5000
Al3 Al 0.2200 0.3872 0.0000
Ni1 Ni 0.0000 0.5000 0.5000
```


A plane-wave DFT calculation with SCAN was carried out for Zr2AlNi2 at its PBEsol-relaxed geometry.

Values from the calculation:
Final energy: -205.376 eV per cell

Structure (CIF):
```
data_Zr2AlNi2
_chemical_formula_sum 'Zr4 Al2 Ni4'
_symmetry_space_group_name_H-M 'I 4/m m m'
_symmetry_Int_Tables_number 139
_symmetry_space_group_name_Hall '-I 4 2'
_cell_length_a 4.9277
_cell_length_b 4.9277
_cell_length_c 7.0433
_cell_angle_alpha 90.00
_cell_angle_beta 90.00
_cell_angle_gamma 90.00
loop_
_atom_site_label
_atom_site_type_symbol
_atom_site_fract_x
_atom_site_fract_y
_atom_site_fract_z
Zr1 Zr 0.0000 0.5000 0.2500
Al1 Al 0.0000 0.0000 0.0000
Ni1 Ni 0.0000 0.0000 0.3490
```


A plane-wave DFT calculation with SCAN was carried out for Zr2AlNi at its PBEsol-relaxed geometry.

Values from the calculation:
Final energy: -84.449 eV per cell

Structure (CIF):
```
data_Zr2AlNi
_chemical_formula_sum 'Zr2 Al1 Ni1'
_symmetry_space_group_name_H-M 'P -6 m 2'
_symmetry_Int_Tables_number 187
_symmetry_space_group_name_Hall 'P -6 2'
_cell_length_a 2.9155
_cell_length_b 2.9155
_cell_length_c 9.8357
_cell_angle_alpha 90.00
_cell_angle_beta 90.00
_cell_angle_gamma 120.00
loop_
_atom_site_label
_atom_site_type_symbol
_atom_site_fract_x
_atom_site_fract_y
_atom_site_fract_z
Zr1 Zr 0.0000 0.0000 0.2492
Al1 Al 0.6667 0.3333 0.0000
Ni1 Ni 0.0000 0.0000 0.5000
```


A plane-wave DFT calculation with SCAN was carried out for Zr2AlNi at its PBEsol-relaxed geometry.

Values from the calculation:
Final energy: -173.189 eV per cell

Structure (CIF):
```
data_Zr2AlNi
_chemical_formula_sum 'Zr4 Al2 Ni2'
_symmetry_space_group_name_H-M 'I m m m'
_symmetry_Int_Tables_number 71
_symmetry_space_group_name_Hall '-I 2 2'
_cell_length_a 4.0865
_cell_length_b 4.2058
_cell_length_c 7.9886
_cell_angle_alpha 90.00
_cell_angle_beta 90.00
_cell_angle_gamma 90.00
loop_
_atom_site_label
_atom_site_type_symbol
_atom_site_fract_x
_atom_site_fract_y
_atom_site_fract_z
Zr1 Zr 0.0000 0.0000 0.2463
Al1 Al 0.0000 0.5000 0.0000
Ni1 Ni 0.0000 0.5000 0.5000
```


A plane-wave DFT calculation with SCAN was carried out for Zr2AlNi at its PBEsol-relaxed geometry.

Values from the calculation:
Final energy: -86.637 eV per cell

Structure (CIF):
```
data_Zr2AlNi
_chemical_formula_sum 'Zr2 Al1 Ni1'
_symmetry_space_group_name_H-M 'P 4/m m m'
_symmetry_Int_Tables_number 123
_symmetry_space_group_name_Hall '-P 4 2'
_cell_length_a 4.1818
_cell_length_b 4.1818
_cell_length_c 3.9210
_cell_angle_alpha 90.00
_cell_angle_beta 90.00
_cell_angle_gamma 90.00
loop_
_atom_site_label
_atom_site_type_symbol
_atom_site_fract_x
_atom_site_fract_y
_atom_site_fract_z
Zr1 Zr 0.0000 0.5000 0.0000
Al1 Al 0.0000 0.0000 0.5000
Ni1 Ni 0.5000 0.5000 0.5000
```


A plane-wave DFT calculation with SCAN was carried out for ZrAl2Ni at its PBEsol-relaxed geometry.

Values from the calculation:
Final energy: -129.602 eV per cell

Structure (CIF):
```
data_ZrAl2Ni
_chemical_formula_sum 'Zr2 Al4 Ni2'
_symmetry_space_group_name_H-M 'P 63/m m c'
_symmetry_Int_Tables_number 194
_symmetry_space_group_name_Hall '-P 6c 2c'
_cell_length_a 4.0137
_cell_length_b 4.0137
_cell_length_c 9.0375
_cell_angle_alpha 90.00
_cell_angle_beta 90.00
_cell_angle_gamma 120.00
loop_
_atom_site_label
_atom_site_type_symbol
_atom_site_fract_x
_atom_site_fract_y
_atom_site_fract_z
Zr1 Zr 0.3333 0.6667 0.2500
Al1 Al 0.3333 0.6667 0.5744
Ni1 Ni 0.0000 0.0000 0.0000
```


A plane-wave DFT calculation with SCAN was carried out for ZrAl2Ni at its PBEsol-relaxed geometry.

Values from the calculation:
Final energy: -126.240 eV per cell

Structure (CIF):
```
data_ZrAl2Ni
_chemical_formula_sum 'Zr2 Al4 Ni2'
_symmetry_space_group_name_H-M 'C 1 2/m 1'
_symmetry_Int_Tables_number 12
_symmetry_space_group_name_Hall '-C 2y'
_cell_length_a 5.4725
_cell_length_b 8.4716
_cell_length_c 2.7729
_cell_angle_alpha 90.00
_cell_angle_beta 94.11
_cell_angle_gamma 90.00
loop_
_atom_site_label
_atom_site_type_symbol
_atom_site_fract_x
_atom_site_fract_y
_atom_site_fract_z
Zr1 Zr 0.0000 0.0000 0.0000
Al1 Al 0.2500 0.2500 0.5000
Ni1 Ni 0.0000 0.5000 0.0000
```


A plane-wave DFT calculation with SCAN was carried out for ZrAl2Ni at its PBEsol-relaxed geometry.

Values from the calculation:
Final energy: -253.838 eV per cell

Structure (CIF):
```
data_ZrAl2Ni
_chemical_formula_sum 'Zr4 Al8 Ni4'
_symmetry_space_group_name_H-M 'F m -3 m'
_symmetry_Int_Tables_number 225
_symmetry_space_group_name_Hall '-F 4 2 3'
_cell_length_a 6.2522
_cell_length_b 6.2522
_cell_length_c 6.2522
_cell_angle_alpha 90.00
_cell_angle_beta 90.00
_cell_angle_gamma 90.00
loop_
_atom_site_label
_atom_site_type_symbol
_atom_site_fract_x
_atom_site_fract_y
_atom_site_fract_z
Zr1 Zr 0.0000 0.0000 0.0000
Al1 Al 0.2500 0.2500 0.2500
Ni1 Ni 0.0000 0.0000 0.5000
```


Listing DFT formation energy for the structures above in their given order: -4.5; -1.2; 0.9; -1.3; -1.3; -2.4; -0.7; -1.1 eV/f.u..
Listing M_tot for the structures above in their given order: 0.0; 0.0; 0.0; 0.0; 0.0; 0.0; 0.0; 0.0 μB/f.u..